{"formula": "NbCr2IrN", "functional": "PBE", "state": "relaxed", "cell": [[3.866, 0.000, 0.000], [0.000, 3.866, 0.000], [0.000, 0.000, 4.210]], "species": ["Nb", "Cr", "Cr", "Ir", "N"], "frac_coords": [[0.000, 0.000, 0.000], [0.000, 0.500, 0.500], [0.500, 0.000, 0.500], [0.500, 0.500, 0.000], [0.000, 0.000, 0.500]], "final_energy_ev_per_atom": -9.712, "e_form_raw_kj_per_mol_atoms": -39.70}